{
  "formula": "BeCdW",
  "functional": "PBE",
  "state": "optimized geometry",
  "cell": [[-1.3676, 1.3676, 6.0855], [1.3676, -1.3676, 6.0855], [1.3676, 1.3676, -6.0855]],
  "species": ["Be", "Cd", "W"],
  "fractional_positions": [[0.0000, 0.0000, 0.0000], [0.6641, 0.6641, 0.0000], [0.3601, 0.3601, 0.0000]],
  "total_energy_ev_per_fu": -16.2,
  "ef_kcal_per_mol_atoms": 10.96,
  "sg": "No. 107",
  "relative_energy_ev_per_atom": 0.027,
  "n_ef_per_ev_cell": 1.543
}



{
  "formula": "DyY2Tm8",
  "functional": "PBE",
  "state": "optimized geometry",
  "cell": [[8.2197, -3.2630, 0.0000], [8.2197, 3.2630, 0.0000], [-1.2751, 0.0000, 6.4488]],
  "species": ["Dy", "Y", "Y", "Tm", "Tm", "Tm", "Tm", "Tm", "Tm", "Tm", "Tm"],
  "fractional_positions": [[0.0000, 0.0000, 0.0000], [0.2424, 0.2424, 0.3100], [0.7576, 0.7576, 0.6900], [0.1758, 0.6510, 0.5941], [0.2007, 0.2007, 0.7997], [0.3490, 0.8242, 0.4059], [0.4106, 0.4106, 0.0942], [0.5894, 0.5894, 0.9058], [0.6510, 0.1758, 0.5941], [0.7993, 0.7993, 0.2003], [0.8242, 0.3490, 0.4059]],
  "total_energy_ev_per_fu": -51.2,
  "ef_kcal_per_mol_atoms": 4.31,
  "sg": "No. 12",
  "relative_energy_ev_per_atom": 0.075,
  "n_ef_per_ev_cell": 18.050
}



{
  "formula": "SnPbAu3",
  "functional": "PBE",
  "state": "optimized geometry",
  "cell": [[5.2132, 0.0000, 0.0000], [0.0000, 5.2132, 0.0000], [0.0000, 0.0000, 5.2132]],
  "species": ["Sn", "Pb", "Au", "Au", "Au"],
  "fractional_positions": [[0.0000, 0.0000, 0.0000], [0.5000, 0.5000, 0.5000], [0.0000, 0.0000, 0.5000], [0.0000, 0.5000, 0.0000], [0.5000, 0.0000, 0.0000]],
  "total_energy_ev_per_fu": -16.1,
  "ef_kcal_per_mol_atoms": 6.52,
  "sg": "No. 221",
  "relative_energy_ev_per_atom": 0.369,
  "n_ef_per_ev_cell": 3.564
}



{
  "formula": "Y2BrCl",
  "functional": "PBE",
  "state": "optimized geometry",
  "cell": [[3.7779, 0.0000, 0.0000], [0.0000, 3.7779, 0.0000], [0.0000, 0.0000, 7.4501]],
  "species": ["Y", "Y", "Br", "Cl"],
  "fractional_positions": [[0.0000, 0.0000, 0.0000], [0.5000, 0.5000, 0.3181], [0.0000, 0.0000, 0.5500], [0.5000, 0.5000, 0.8821]],
  "formation_energy_uncorrected_ev_per_atom": -1.286,
  "total_energy_ev_per_fu": -21.6,
  "sg": "No. 99",
  "relative_energy_ev_per_atom": 0.000,
  "n_ef_per_ev_cell": 2.455
}



{
  "formula": "ZrGa2Ir2",
  "functional": "PBE",
  "state": "optimized geometry",
  "cell": [[-1.8450, 1.8450, 6.2978], [1.8450, -1.8450, 6.2978], [1.8450, 1.8450, -6.2978]],
  "species": ["Zr", "Ga", "Ga", "Ir", "Ir"],
  "fractional_positions": [[0.0000, 0.0000, 0.0000], [0.2500, 0.7500, 0.5000], [0.7500, 0.2500, 0.5000], [0.3958, 0.3958, 0.0000], [0.6042, 0.6042, 0.0000]],
  "total_energy_ev_per_fu": -35.0,
  "ef_kcal_per_mol_atoms": -12.23,
  "sg": "No. 139",
  "relative_energy_ev_per_atom": 0.028,
  "n_ef_per_ev_cell": 2.375
}



{
  "formula": "BaYPt3",
  "functional": "PBE",
  "state": "optimized geometry",
  "cell": [[5.3201, 0.0000, 0.0000], [0.0000, 5.3201, 0.0000], [0.0000, 0.0000, 5.3201]],
  "species": ["Ba", "Y", "Pt", "Pt", "Pt"],
  "fractional_positions": [[0.0000, 0.0000, 0.0000], [0.5000, 0.5000, 0.5000], [0.0000, 0.0000, 0.5000], [0.0000, 0.5000, 0.0000], [0.5000, 0.0000, 0.0000]],
  "total_energy_ev_per_fu": -22.0,
  "ef_kcal_per_mol_atoms": 20.82,
  "sg": "No. 221",
  "relative_energy_ev_per_atom": 1.094,
  "n_ef_per_ev_cell": 9.073
}



{
  "formula": "NdDy5YTh2",
  "functional": "PBE",
  "state": "optimized geometry",
  "cell": [[-4.4404, 4.4404, 7.6395], [4.4404, -4.4404, 7.6395], [4.4404, 4.4404, -7.6395]],
  "species": ["Nd", "Nd", "Dy", "Dy", "Dy", "Dy", "Dy", "Dy", "Dy", "Dy", "Dy", "Dy", "Y", "Y", "Th", "Th", "Th", "Th"],
  "fractional_positions": [[0.2500, 0.2500, 0.0000], [0.7500, 0.7500, 0.0000], [0.0000, 0.0000, 0.0000], [0.0715, 0.5715, 0.9175], [0.1540, 0.0715, 0.5000], [0.3460, 0.8460, 0.9175], [0.4285, 0.3460, 0.5000], [0.5000, 0.5000, 0.0000], [0.5715, 0.6540, 0.5000], [0.6540, 0.1540, 0.0825], [0.8460, 0.9285, 0.5000], [0.9285, 0.4285, 0.0825], [0.2500, 0.7500, 0.5000], [0.7500, 0.2500, 0.5000], [0.1187, 0.3813, 0.5000], [0.3813, 0.8813, 0.2626], [0.6187, 0.1187, 0.7374], [0.8813, 0.6187, 0.5000]],
  "total_energy_ev_per_fu": -46.1,
  "ef_kcal_per_mol_atoms": 7.63,
  "sg": "No. 140",
  "n_ef_per_ev_cell": 25.922
}



{
  "formula": "La4CdAu2",
  "functional": "PBE",
  "state": "optimized geometry",
  "cell": [[2.6218, 1.5137, 9.4715], [-2.6218, 1.5137, 9.4715], [0.0000, -3.0274, 9.4715]],
  "species": ["La", "La", "La", "La", "Cd", "Au", "Au"],
  "fractional_positions": [[0.1201, 0.1201, 0.1201], [0.2906, 0.2906, 0.2906], [0.7094, 0.7094, 0.7094], [0.8799, 0.8799, 0.8799], [0.5000, 0.5000, 0.5000], [0.3978, 0.3978, 0.3978], [0.6022, 0.6022, 0.6022]],
  "total_energy_ev_per_fu": -30.0,
  "ef_kcal_per_mol_atoms": -9.36,
  "sg": "No. 166",
  "relative_energy_ev_per_atom": 0.113,
  "n_ef_per_ev_cell": 8.804
}